Compound: SrMoO2
Source: Alexandria via LeMat-Bulk
Functional: GGA+U
Structure: optimized geometry

Unit cell a=4.3293 b=4.3293 c=4.3293 alpha=60.00 beta=60.00 gamma=60.00
With the nearest neighbours (Å) after each atom.
Element x y z (fractional)
Mo  0.5000  0.5000  0.5000  8 O 2.65
O  0.2500  0.2500  0.2500  4 Mo 2.65, 4 Sr 2.65
O  0.7500  0.7500  0.7500  4 Mo 2.65, 4 Sr 2.65
Sr  0.0000  0.0000  0.0000  8 O 2.65

M_tot: 4.00 μB/f.u.
Mass density: 6238 kg/m³
Energy above the lowest structure with this stoichiometry: 3.05 eV per formula unit
Total energy: -0.4187 Ry per atom
Space group: No. 225

Compound: SrMoO3
Source: Alexandria via LeMat-Bulk
Functional: GGA+U
Structure: optimized geometry

Unit cell a=4.4376 b=4.4376 c=4.4376 alpha=90.00 beta=90.00 gamma=90.00
With the nearest neighbours (Å) after each atom.
Element x y z (fractional)
Mo  0.5000  0.5000  0.5000  12 O 3.14
Sr  0.0000  0.0000  0.0000  6 O 2.22
O  0.0000  0.0000  0.5000  2 Sr 2.22
O  0.5000  0.0000  0.0000  2 Sr 2.22
O  0.0000  0.5000  0.0000  2 Sr 2.22

M_tot: 2.00 μB/f.u.
Mass density: 4400 kg/m³
Total energy: -0.3536 Ry per atom
Space group: No. 221

Compound: Sr6MoO8
Source: Alexandria via LeMat-Bulk
Functional: GGA+U
Structure: optimized geometry

Unit cell a=6.5945 b=6.5945 c=6.5945 alpha=69.65 beta=69.65 gamma=69.65
With the nearest neighbours (Å) after each atom.
Element x y z (fractional)
O  0.9048  0.1529  0.6945  1 Mo 2.12
O  0.3055  0.0952  0.8471  1 Mo 2.12
O  0.6663  0.6663  0.6663  6 Sr 2.50-2.79
O  0.1529  0.6945  0.9048  1 Mo 2.12
O  0.0952  0.8471  0.3055  1 Mo 2.12
O  0.6945  0.9048  0.1529  1 Mo 2.12
O  0.8471  0.3055  0.0952  1 Mo 2.12
O  0.3337  0.3337  0.3337  6 Sr 2.50-2.79
Sr  0.0552  0.4827  0.7107  6 O 2.50-2.79
Sr  0.2893  0.9448  0.5173  6 O 2.50-2.79
Sr  0.5173  0.2893  0.9448  6 O 2.50-2.79
Sr  0.7107  0.0552  0.4827  6 O 2.50-2.79
Sr  0.4827  0.7107  0.0552  6 O 2.50-2.79
Sr  0.9448  0.5173  0.2893  6 O 2.50-2.79
Mo  0.0000  0.0000  0.0000  6 O 2.12

M_tot: 2.00 μB/f.u.
Mass density: 5111 kg/m³
Total energy: -0.4581 Ry per atom
Space group: No. 148